Record 1
The following is a DFT calculation (PBE-GGA) of a relaxed K3GaRe crystal.

Properties
ΔE_f	1519	meV per atom
calculated volume	52.35	Å³/atom

Unit cell a=6.3969 b=6.3969 c=6.3969 alpha=90.00 beta=90.00 gamma=90.00
Atoms (fractional coordinates):
K1 0.0000 0.0000 0.5000
K2 0.0000 0.5000 0.0000
K3 0.5000 0.0000 0.0000
Ga1 0.0000 0.0000 0.0000
Re1 0.5000 0.5000 0.5000

***

Record 2
The following is a DFT calculation (PBE-GGA) of a relaxed KGa2ReSe crystal.

Properties
raw formation energy	1276	meV per atom
calculated volume	32.05	Å³/atom

Unit cell a=5.2594 b=5.2594 c=5.7936 alpha=90.00 beta=90.00 gamma=90.00
Atoms (fractional coordinates):
K1 0.0000 0.0000 0.0000
Ga1 0.0000 0.5000 0.5000
Ga2 0.5000 0.0000 0.5000
Re1 0.5000 0.5000 0.0000
Se1 0.0000 0.0000 0.5000

***

no.,total moment (μB per cell)
1,4.1
2,3.8